(1)
The following is a DFT calculation (PBE) of crystalline MgTiAl2 at its relaxed geometry.

Structure (POSCAR):
```
MgTiAl2
1.0
-0.524 -2.718 0.936
1.912 0.381 2.176
-6.043 2.823 4.813
Al Mg Ti
2 1 1
Direct
0.000 0.000 0.769 Al
0.000 0.000 0.231 Al
0.500 0.500 0.500 Mg
0.500 0.500 0.000 Ti
```

The calculation puts the size of the total moment at 0.0 μB per formula unit. As for the space-group type: P4/mmm (123). The value obtained for the final energy is -4.42 eV per atom. The energy of formation comes out at -0.179 eV/atom.


(2)
The following is a DFT calculation (PBE) of crystalline LaEuCdNi at its relaxed geometry.

Structure (POSCAR):
```
LaEuCdNi
1.0
-4.678 2.118 1.289
-4.374 -1.464 -2.599
-3.662 -2.951 2.432
Ni Eu Cd La
1 1 1 1
Direct
0.250 0.250 0.250 Ni
0.500 0.500 0.500 Eu
0.750 0.750 0.750 Cd
0.000 0.000 0.000 La
```

The calculation puts the size of the total moment at 7.0 μB per formula unit. As for the space-group type: F-43m (216). The value obtained for the final energy is -5.63 eV per atom. The energy of formation comes out at -0.159 eV/atom.


(3)
The following is a DFT calculation (PBE) of crystalline RbNb3Ag at its relaxed geometry.

Structure (POSCAR):
```
RbNb3Ag
1.0
4.801 0.000 0.000
0.000 4.801 0.000
0.000 0.000 4.801
Nb Ag Rb
3 1 1
Direct
0.000 0.000 0.500 Nb
0.000 0.500 0.000 Nb
0.500 0.000 0.000 Nb
0.500 0.500 0.500 Ag
0.000 0.000 0.000 Rb
```

The calculation puts the size of the total moment at 0.0 μB per formula unit. As for the space-group type: Pm-3m (221). The value obtained for the final energy is -4.08 eV per atom. The energy of formation comes out at 2.722 eV/atom. The calculation puts the energy above the most stable polymorph in this dataset at 682 meV per atom.


(4)
The following is a DFT calculation (PBE) of crystalline Ta3NbTe at its relaxed geometry.

Structure (POSCAR):
```
Ta3NbTe
1.0
-4.035 -2.780 -0.614
2.643 -3.264 -2.598
1.057 -2.451 4.155
Nb Ta Te
1 3 1
Direct
0.000 0.000 0.000 Nb
0.500 0.000 0.000 Ta
0.000 0.000 0.500 Ta
0.000 0.500 0.000 Ta
0.500 0.500 0.500 Te
```

The calculation puts the size of the total moment at 0.0 μB per formula unit. As for the space-group type: Pm-3m (221). The value obtained for the final energy is -8.25 eV per atom. The value obtained for the uncorrected formation energy is 1500 meV/atom.


(5)
The following is a DFT calculation (PBE) of crystalline Cs4Na5Pb at its relaxed geometry.

Structure (POSCAR):
```
Cs4Na5Pb
1.0
-3.019 -1.295 -5.707
-8.535 -5.172 1.890
-6.363 7.616 -2.162
Na Cs Pb
5 4 1
Direct
0.340 0.000 0.000 Na
0.183 0.000 0.677 Na
0.860 0.323 0.000 Na
0.860 0.000 0.323 Na
0.183 0.677 0.000 Na
0.839 0.714 0.714 Cs
0.553 0.286 0.714 Cs
0.553 0.714 0.286 Cs
0.267 0.286 0.286 Cs
0.851 0.000 0.000 Pb
```

The calculation puts the size of the total moment at 0.0 μB per formula unit. As for the space-group type: I4mm (107). The value obtained for the final energy is -1.39 eV per atom. The energy of formation comes out at -0.018 eV/atom.


(6)
The following is a DFT calculation (PBE) of crystalline PrNd2Er5 at its relaxed geometry.

Structure (POSCAR):
```
PrNd2Er5
1.0
-6.514 -6.948 -2.776
4.823 -4.315 -0.517
-1.829 4.977 9.560
Nd Pr Er
4 2 10
Direct
0.822 0.540 0.151 Nd
0.178 0.460 0.849 Nd
0.329 0.040 0.151 Nd
0.671 0.960 0.849 Nd
0.500 0.500 0.500 Pr
0.000 0.000 0.500 Pr
0.688 0.056 0.199 Er
0.714 0.131 0.610 Er
0.286 0.869 0.390 Er
0.489 0.444 0.801 Er
0.104 0.369 0.390 Er
0.057 0.250 0.000 Er
0.943 0.750 0.000 Er
0.511 0.556 0.199 Er
0.896 0.631 0.610 Er
0.312 0.944 0.801 Er
```

The calculation puts the size of the total moment at 0.0 μB per formula unit. As for the space-group type: C2/c (15). The value obtained for the final energy is -4.46 eV per atom. The energy of formation comes out at 0.180 eV/atom. The calculation puts the energy above the most stable polymorph in this dataset at 158 meV per atom.


Please write out number 1 again, unchanged.
The following is a DFT calculation (PBE) of crystalline MgTiAl2 at its relaxed geometry.

Structure (POSCAR):
```
MgTiAl2
1.0
-0.524 -2.718 0.936
1.912 0.381 2.176
-6.043 2.823 4.813
Al Mg Ti
2 1 1
Direct
0.000 0.000 0.769 Al
0.000 0.000 0.231 Al
0.500 0.500 0.500 Mg
0.500 0.500 0.000 Ti
```

The calculation puts the size of the total moment at 0.0 μB per formula unit. As for the space-group type: P4/mmm (123). The value obtained for the final energy is -4.42 eV per atom. The energy of formation comes out at -0.179 eV/atom.